1.
Material: SbW2IN
Method: DFT, PBE
State: optimized geometry

Cell and atoms, written as POSCAR:
```
SbW2IN
1.0
-3.240 0.652 2.549
2.924 -1.883 4.198
1.382 3.862 0.769
Sb W N I
1 2 1 1
Direct
0.000 0.500 0.000
0.500 0.000 0.000
0.000 0.000 0.500
0.000 0.000 0.000
0.500 0.500 0.500
```

## Properties
Raw formation energy, kJ per mole of atoms: 114.6
SG: No. 123
DFT total energy, Ha/atom: -0.250



2.
Material: SbWI2N
Method: DFT, PBE
State: optimized geometry

Cell and atoms, written as POSCAR:
```
SbWI2N
1.0
6.146 0.000 0.000
0.000 6.146 0.000
0.000 0.000 3.946
Sb I W N
1 2 1 1
Direct
0.000 0.000 0.000
0.500 0.000 0.000
0.000 0.500 0.000
0.500 0.500 0.500
0.000 0.000 0.500
```

## Properties
Raw formation energy, kJ per mole of atoms: 166.4
SG: No. 123
Excess energy over the best structure of this formula in the dataset, meV per atom: 1161.9
DFT total energy, Ha/atom: -0.146



3.
Material: ZnSbIN2
Method: DFT, PBE
State: optimized geometry

Cell and atoms, written as POSCAR:
```
ZnSbIN2
1.0
-3.392 -0.352 -2.211
-2.021 -1.244 3.299
-1.741 6.971 1.562
I Zn Sb N
1 1 1 2
Direct
0.000 0.000 0.500
0.500 0.500 0.500
0.000 0.000 0.000
0.000 0.500 0.000
0.500 0.000 0.000
```

## Properties
Raw formation energy, kJ per mole of atoms: 111.0
SG: No. 123
Excess energy over the best structure of this formula in the dataset, meV per atom: 0.0
DFT total energy, Ha/atom: -0.131



4.
Material: ZnSbIN2
Method: DFT, PBE
State: optimized geometry

Cell and atoms, written as POSCAR:
```
ZnSbIN2
1.0
4.323 0.000 0.000
0.000 4.323 0.000
0.000 0.000 5.615
I N Zn Sb
1 2 1 1
Direct
0.000 0.000 0.500
0.500 0.000 0.000
0.000 0.500 0.000
0.000 0.000 0.000
0.500 0.500 0.500
```

## Properties
Raw formation energy, kJ per mole of atoms: 155.6
SG: No. 123
Excess energy over the best structure of this formula in the dataset, meV per atom: 462.2
DFT total energy, Ha/atom: -0.114



5.
Material: ZrSb2IN
Method: DFT, PBE
State: optimized geometry

Cell and atoms, written as POSCAR:
```
ZrSb2IN
1.0
4.809 0.000 0.000
0.000 4.809 0.000
0.000 0.000 4.695
Zr Sb N I
1 2 1 1
Direct
0.500 0.500 0.500
0.500 0.000 0.000
0.000 0.500 0.000
0.000 0.000 0.000
0.000 0.000 0.500
```

## Properties
Raw formation energy, kJ per mole of atoms: 54.9
SG: No. 123
Excess energy over the best structure of this formula in the dataset, meV per atom: 0.0
DFT total energy, Ha/atom: -0.175



6.
Material: ZrSb2IN
Method: DFT, PBE
State: optimized geometry

Cell and atoms, written as POSCAR:
```
ZrSb2IN
1.0
5.598 0.000 0.000
0.000 5.598 0.000
0.000 0.000 5.503
Zr N Sb I
1 1 2 1
Direct
0.000 0.000 0.000
0.500 0.500 0.500
0.500 0.000 0.000
0.000 0.500 0.000
0.000 0.000 0.500
```

## Properties
Raw formation energy, kJ per mole of atoms: 136.2
SG: No. 123
Excess energy over the best structure of this formula in the dataset, meV per atom: 842.8
DFT total energy, Ha/atom: -0.144



7.
Material: ScI3N
Method: DFT, PBE
State: optimized geometry

Cell and atoms, written as POSCAR:
```
ScI3N
1.0
-1.919 -5.266 -1.347
5.313 -1.515 -1.646
1.149 -1.790 5.358
I Sc N
3 1 1
Direct
0.500 0.000 0.000
0.000 0.000 0.500
0.000 0.500 0.000
0.000 0.000 0.000
0.500 0.500 0.500
```

## Properties
Raw formation energy, kJ per mole of atoms: 18.3
SG: No. 221
Excess energy over the best structure of this formula in the dataset, meV per atom: 456.7
DFT total energy, Ha/atom: -0.135



8.
Material: ScIN
Method: DFT, PBE
State: optimized geometry

Cell and atoms, written as POSCAR:
```
ScIN
1.0
-9.630 -5.746 -1.958
1.144 -2.711 2.327
-2.218 3.262 4.890
N Sc I
4 4 4
Direct
0.674 0.500 0.915
0.778 0.500 0.789
0.674 0.000 0.415
0.778 0.000 0.289
0.600 0.500 0.589
0.841 0.000 0.640
0.841 0.500 0.140
0.600 0.000 0.089
0.410 0.000 0.405
0.026 0.000 0.017
0.026 0.500 0.517
0.410 0.500 0.905
```

## Properties
Raw formation energy, kJ per mole of atoms: -101.8
SG: No. 8
DFT total energy, Ha/atom: -0.237